[1]
VASP calculation (GGA-PBE) on AcTl2Br8 after structural relaxation.

Calculated values
**Energy**: -32.851 eV for the cell shown
**Formation energy (no corrections)**: -0.966 eV/atom
**Space group**: C2/m, No. 12
**Magnetic moment**: 0.000 μB per formula unit

a b c (Å): 7.5513 8.4064 8.4064
angles (deg): 59.04 78.56 78.56
Last column: nearest neighbours and their distance in Å.
Fractional positions:
1 Br 0.3001 0.8214 0.8214  1 Tl 2.85, 1 Ac 3.04
2 Br 0.2164 0.8572 0.3360  1 Tl 2.79, 1 Ac 3.11
3 Tl 0.3127 0.2103 0.2103  4 Br 2.64-2.85
4 Br 0.2164 0.3360 0.8572  1 Tl 2.79, 1 Ac 3.11
5 Br 0.7836 0.6640 0.1428  1 Tl 2.79, 1 Ac 3.11
6 Br 0.6999 0.1786 0.1786  1 Tl 2.85, 1 Ac 3.04
7 Br 0.2327 0.3960 0.3960  1 Tl 2.64
8 Br 0.7673 0.6040 0.6040  1 Tl 2.64
9 Br 0.7836 0.1428 0.6640  1 Tl 2.79, 1 Ac 3.11
10 Tl 0.6873 0.7897 0.7897  4 Br 2.64-2.85
11 Ac 0.0000 0.0000 0.0000  6 Br 3.04-3.11

=====

[2]
VASP calculation (GGA-PBE) on Pm2TmPaP4 after structural relaxation.

Calculated values
**Energy**: -57.286 eV for the cell shown
**Formation enthalpy at 0 K**: -1.522 eV/atom
**Space group**: P2/m, No. 10
**Magnetic moment**: 0.000 μB per formula unit

a b c (Å): 4.0426 6.9617 7.0200
angles (deg): 109.42 90.00 90.00
Last column: nearest neighbours and their distance in Å.
Fractional positions:
1 Pm 0.0000 0.5000 0.5000  6 P 2.91-2.93
2 P 0.5000 0.2443 0.2362  2 Pa 2.80, 1 Tm 2.81, 3 Pm 2.90-2.91
3 P 0.0000 0.7483 0.2358  1 Pa 2.78, 2 Tm 2.81, 3 Pm 2.90-2.93
4 P 0.5000 0.7557 0.7638  2 Pa 2.80, 1 Tm 2.81, 3 Pm 2.90-2.91
5 Pm 0.5000 0.0000 0.5000  6 P 2.90
6 Pa 0.0000 0.0000 0.0000  6 P 2.78-2.80
7 Tm 0.5000 0.5000 0.0000  6 P 2.81
8 P 0.0000 0.2517 0.7642  1 Pa 2.78, 2 Tm 2.81, 3 Pm 2.90-2.93